(1)
## Re2SiAu (SCAN)

Data for a crystal of Re2SiAu relaxed with PBEsol.

The value obtained for the mass density is 16.58 g/cm3. As for the raw total energy: -54.79 eV/atom. The calculation puts the formation energy (no corrections) at 0.56 eV per atom.

It has space group C2/m (No. 12), with a = 5.380 Å, b = 9.178 Å, c = 2.724 Å, α = 90.00°, β = 117.14° and γ = 90.00°. The distinct sites, in fractional coordinates, are Re at (0.250, 0.250, 0.000), Si at (0.000, 0.000, 0.500) and Au at (0.000, 0.500, 0.500).

***

(2)
## Ba4Li (SCAN)

Data for a crystal of Ba4Li relaxed with PBEsol.

The value obtained for the mass density is 3.43 g/cm3. For the energy relative to the elements, the calculation gives 1.1 eV/f.u. As for the raw total energy: -31.90 eV/atom.

It has space group Im-3m (No. 229), with a = 8.138 Å, b = 8.138 Å, c = 8.138 Å, α = 90.00°, β = 90.00° and γ = 90.00°. The distinct sites, in fractional coordinates, are Ba at (0.250, 0.250, 0.250) and Li at (0.000, 0.000, 0.000).

***

(3)
## TaAlCo (SCAN)

Data for a crystal of TaAlCo relaxed with PBEsol.

The value obtained for the mass density is 10.79 g/cm3. For the energy relative to the elements, the calculation gives -1.0 eV/f.u. As for the raw total energy: -30.89 eV/atom.

It has space group I4mm (No. 107), with a = 2.846 Å, b = 2.846 Å, c = 10.140 Å, α = 90.00°, β = 90.00° and γ = 90.00°. The distinct sites, in fractional coordinates, are Ta at (0.000, 0.000, 0.000), Al at (0.000, 0.000, 0.303) and Co at (0.000, 0.000, 0.665).

***

(4)
## Mg2ScBeH (SCAN)

Data for a crystal of Mg2ScBeH relaxed with PBEsol.

The value obtained for the mass density is 1.62 g/cm3. As for the raw total energy: -5.54 eV/atom.

It has space group P4/mmm (No. 123), with a = 5.590 Å, b = 5.590 Å, c = 3.400 Å, α = 90.00°, β = 90.00° and γ = 90.00°. The distinct sites, in fractional coordinates, are Mg at (0.000, 0.500, 0.000), Sc at (0.000, 0.000, 0.000), Be at (0.500, 0.500, 0.500) and H at (0.000, 0.000, 0.500).

***

(5)
## Tb3Al12Os4 (SCAN)

Data for a crystal of Tb3Al12Os4 relaxed with PBEsol.

The value obtained for the mass density is 8.21 g/cm3. For the energy relative to the elements, the calculation gives -13.6 eV/f.u. As for the raw total energy: -28.13 eV/atom.

It has space group P6_3/mmc (No. 194), with a = 8.7516 Å, b = 8.7516 Å, c = 9.5241 Å, α = 90.00°, β = 90.00° and γ = 120.00°. The distinct sites, in fractional coordinates, are Tb at (0.1930, 0.3860, 0.2500), Al at (0.0000, 0.0000, 0.2500), Al at (0.1224, 0.5612, 0.7500), Al at (0.1632, 0.3265, 0.5751), Al at (0.3333, 0.6667, 0.0180), Os at (0.0000, 0.0000, 0.0000) and Os at (0.0000, 0.5000, 0.0000).

***

(6)
## MgAuN2 (SCAN)

Data for a crystal of MgAuN2 relaxed with PBEsol.

The value obtained for the mass density is 7.51 g/cm3. As for the raw total energy: -22.32 eV/atom. The calculation puts the formation energy (no corrections) at 0.86 eV per atom.

It has space group R-3m (No. 166, hexagonal axes), with a = 3.2554 Å, b = 3.2554 Å, c = 18.0207 Å, α = 90.00°, β = 90.00° and γ = 120.00°. The distinct sites, in fractional coordinates, are Mg at (0.0000, 0.0000, 0.0000), Au at (0.0000, 0.0000, 0.5000) and N at (0.0000, 0.0000, 0.1120).

***

(7)
## YZn2FeMo (SCAN)

Data for a crystal of YZn2FeMo relaxed with PBEsol.

The value obtained for the mass density is 5.20 g/cm3. For the energy relative to the elements, the calculation gives 9.8 eV/f.u. As for the raw total energy: -19.61 eV/atom. For the excess energy over the best structure of this formula in the dataset, the calculation gives 839 meV/atom.

It has space group P4/mmm (No. 123), with a = 5.022 Å, b = 5.022 Å, c = 4.703 Å, α = 90.00°, β = 90.00° and γ = 90.00°. The distinct sites, in fractional coordinates, are Y at (0.000, 0.000, 0.000), Zn at (0.000, 0.500, 0.000), Fe at (0.500, 0.500, 0.500) and Mo at (0.000, 0.000, 0.500).

***

(8)
## LaMgOs2 (SCAN)

Data for a crystal of LaMgOs2 relaxed with PBEsol.

The value obtained for the mass density is 13.06 g/cm3. For the energy relative to the elements, the calculation gives 1.9 eV/f.u. As for the raw total energy: -47.48 eV/atom.

It has space group Cmmm (No. 65), with a = 3.114 Å, b = 4.837 Å, c = 9.178 Å, α = 90.00°, β = 90.00° and γ = 90.00°. The distinct sites, in fractional coordinates, are La at (0.000, 0.000, 0.000), Mg at (0.000, 0.000, 0.500) and Os at (0.000, 0.500, 0.262).

***

(9)
## BaLaSe2 (SCAN)

Data for a crystal of BaLaSe2 relaxed with PBEsol.

The value obtained for the mass density is 5.87 g/cm3. As for the raw total energy: -32.87 eV/atom. The calculation puts the formation energy (no corrections) at -2.17 eV per atom. For the excess energy over the best structure of this formula in the dataset, the calculation gives 67 meV/atom.

It has space group P4/mmm (No. 123), with a = 4.431 Å, b = 4.431 Å, c = 6.257 Å, α = 90.00°, β = 90.00° and γ = 90.00°. The distinct sites, in fractional coordinates, are Ba at (0.000, 0.000, 0.000), La at (0.500, 0.500, 0.500), Se at (0.000, 0.000, 0.500) and Se at (0.500, 0.500, 0.000).

***

(10)
## CrTc2PbW (SCAN)

Data for a crystal of CrTc2PbW relaxed with PBEsol.

The value obtained for the mass density is 11.80 g/cm3. For the energy relative to the elements, the calculation gives 9.2 eV/f.u. As for the raw total energy: -44.96 eV/atom.

It has space group P4/mmm (No. 123), with a = 4.334 Å, b = 4.334 Å, c = 4.788 Å, α = 90.00°, β = 90.00° and γ = 90.00°. The distinct sites, in fractional coordinates, are Cr at (0.000, 0.000, 0.000), Tc at (0.000, 0.500, 0.000), Pb at (0.000, 0.000, 0.500) and W at (0.500, 0.500, 0.500).

***

(11)
## TcRuRh2 (SCAN)

Data for a crystal of TcRuRh2 relaxed with PBEsol.

The value obtained for the mass density is 12.43 g/cm3. For the energy relative to the elements, the calculation gives -0.1 eV/f.u. As for the raw total energy: -34.37 eV/atom. For the excess energy over the best structure of this formula in the dataset, the calculation gives 12 meV/atom.

It has space group R3m (No. 160, hexagonal axes), with a = 2.6716 Å, b = 2.6716 Å, c = 26.2594 Å, α = 90.00°, β = 90.00° and γ = 120.00°. The distinct sites, in fractional coordinates, are Tc at (0.0000, 0.0000, 0.0000), Ru at (0.0000, 0.0000, 0.7483), Rh at (0.0000, 0.0000, 0.2504) and Rh at (0.0000, 0.0000, 0.4984).

***

(12)
## HgRuBr2 (SCAN)

Data for a crystal of HgRuBr2 relaxed with PBEsol.

The value obtained for the mass density is 8.93 g/cm3. As for the raw total energy: -34.80 eV/atom. The calculation puts the formation energy (no corrections) at 0.68 eV per atom. For the excess energy over the best structure of this formula in the dataset, the calculation gives 816 meV/atom.

It has space group Pmmm (No. 47), with a = 3.396 Å, b = 4.317 Å, c = 5.851 Å, α = 90.00°, β = 90.00° and γ = 90.00°. The distinct sites, in fractional coordinates, are Hg at (0.000, 0.000, 0.000), Ru at (0.500, 0.000, 0.500), Br at (0.000, 0.500, 0.500) and Br at (0.500, 0.500, 0.000).